<1>
Entry from Alexandria: a geometry-optimized Sc3TcS structure (PBE).

a = 4.974 Å, b = 4.974 Å, c = 4.974 Å
α = 90.00°, β = 90.00°, γ = 90.00°
Sites, in units of the cell vectors:
Sc: 0.000 0.000 0.500
Sc: 0.000 0.500 0.000
Sc: 0.500 0.000 0.000
Tc: 0.000 0.000 0.000
S: 0.500 0.500 0.500

Volume (Å³/cell): 123



<2>
Entry from Alexandria: a geometry-optimized Sc3TcS structure (PBE).

a = 4.721 Å, b = 4.721 Å, c = 4.721 Å
α = 90.00°, β = 90.00°, γ = 90.00°
Sites, in units of the cell vectors:
Sc: 0.000 0.000 0.500
Sc: 0.000 0.500 0.000
Sc: 0.500 0.000 0.000
Tc: 0.500 0.500 0.500
S: 0.000 0.000 0.000

Volume (Å³/cell): 105



Short version: <2>, <1>, most stable first.



<1>
Entry from Alexandria: a geometry-optimized ScTe3S structure (PBE).

a = 5.222 Å, b = 5.222 Å, c = 5.222 Å
α = 90.00°, β = 90.00°, γ = 90.00°
Sites, in units of the cell vectors:
Sc: 0.000 0.000 0.000
Te: 0.000 0.500 0.500
Te: 0.500 0.000 0.500
Te: 0.500 0.500 0.000
S: 0.500 0.500 0.500

Volume (Å³/cell): 142



<2>
Entry from Alexandria: a geometry-optimized ScTe3S structure (PBE).

a = 5.479 Å, b = 5.479 Å, c = 5.479 Å
α = 90.00°, β = 90.00°, γ = 90.00°
Sites, in units of the cell vectors:
Sc: 0.000 0.000 0.000
Te: 0.000 0.000 0.500
Te: 0.000 0.500 0.000
Te: 0.500 0.000 0.000
S: 0.500 0.500 0.500

Volume (Å³/cell): 164



Short version: <1>, <2>, most stable first.



<1>
Entry from Alexandria: a geometry-optimized ScTi2S2 structure (PBE).

a = 6.877 Å, b = 6.877 Å, c = 3.243 Å
α = 90.00°, β = 90.00°, γ = 90.00°
Sites, in units of the cell vectors:
Sc: 0.000 0.000 0.000
Sc: 0.500 0.500 0.000
Ti: 0.148 0.352 0.500
Ti: 0.352 0.852 0.500
Ti: 0.648 0.148 0.500
Ti: 0.852 0.648 0.500
S: 0.150 0.650 0.000
S: 0.350 0.150 0.000
S: 0.650 0.850 0.000
S: 0.850 0.350 0.000

Volume (Å³/cell): 153



<2>
Entry from Alexandria: a geometry-optimized ScTi2S2 structure (PBE).

a = 5.208 Å, b = 5.208 Å, c = 5.208 Å
α = 127.46°, β = 127.46°, γ = 77.51°
Sites, in units of the cell vectors:
Sc: 0.000 0.000 0.000
Ti: 0.354 0.354 0.000
Ti: 0.646 0.646 0.000
S: 0.250 0.750 0.500
S: 0.750 0.250 0.500

Volume (Å³/cell): 86



Short version: <1>, <2>, most stable first.